1.
{
  "formula": "Pr5Nd4Sm",
  "functional": "PBE-GGA",
  "state": "optimized geometry",
  "e_tot_ev_per_atom": -4.546,
  "delta_e_f_ev_per_atom": 0.2226,
  "e_above_lowest_polymorph_ev_per_atom": 0.0864,
  "spacegroup": "I4 (79)",
  "lattice_angstrom": [[-5.328, 5.328, 3.180], [5.328, -5.328, 3.180], [5.328, 5.328, -3.180]],
  "species": ["Pr", "Pr", "Pr", "Pr", "Pr", "Nd", "Nd", "Nd", "Nd", "Sm"],
  "fractional_positions": [[0.000, 0.000, 0.000], [0.084, 0.462, 0.997], [0.086, 0.084, 0.622], [0.462, 0.465, 0.378], [0.465, 0.086, 0.003], [0.076, 0.748, 0.324], [0.424, 0.752, 0.676], [0.748, 0.424, 0.672], [0.752, 0.076, 0.328], [0.538, 0.538, 0.000]]
}



2.
{
  "formula": "CaAg2AsH",
  "functional": "PBE-GGA",
  "state": "optimized geometry",
  "e_tot_ev_per_atom": -3.388,
  "spacegroup": "P4/mmm (123)",
  "lattice_angstrom": [[4.197, 0.000, 0.000], [0.000, 4.197, 0.000], [0.000, 0.000, 4.905]],
  "species": ["Ca", "Ag", "Ag", "As", "H"],
  "fractional_positions": [[0.000, 0.000, 0.000], [0.000, 0.500, 0.500], [0.500, 0.000, 0.500], [0.500, 0.500, 0.000], [0.000, 0.000, 0.500]]
}



3.
{
  "formula": "AgHAu2",
  "functional": "PBE-GGA",
  "state": "optimized geometry",
  "e_tot_ev_per_atom": -2.883,
  "e_above_lowest_polymorph_ev_per_atom": 0.1078,
  "spacegroup": "R-3m (166)",
  "lattice_angstrom": [[1.452, 0.838, 8.269], [-1.452, 0.838, 8.269], [0.000, -1.676, 8.269]],
  "species": ["Ag", "H", "Au", "Au"],
  "fractional_positions": [[0.000, 0.000, 0.000], [0.500, 0.500, 0.500], [0.110, 0.110, 0.110], [0.890, 0.890, 0.890]]
}



4.
{
  "formula": "Mn2POsS",
  "functional": "PBE-GGA",
  "state": "optimized geometry",
  "e_form_raw_ev_per_atom": 0.69,
  "e_tot_ev_per_atom": -7.127,
  "spacegroup": "P4/mmm (123)",
  "lattice_angstrom": [[4.254, 0.000, 0.000], [0.000, 4.254, 0.000], [0.000, 0.000, 4.376]],
  "species": ["Mn", "Mn", "P", "Os", "S"],
  "fractional_positions": [[0.000, 0.500, 0.000], [0.500, 0.000, 0.000], [0.000, 0.000, 0.500], [0.500, 0.500, 0.500], [0.500, 0.500, 0.000]]
}